Below is a relaxed structure of CsSbPd3, with properties calculated at the GGA-PBE level.

```
CsSbPd3
1.0
5.179 0.000 0.000
0.000 5.179 0.000
0.000 0.000 5.179
Cs Sb Pd
1 1 3
direct
0.000 0.000 0.000
0.500 0.500 0.500
0.000 0.500 0.500
0.500 0.000 0.500
0.500 0.500 0.000
```

## Properties
Formation energy without anion corrections ... 57 meV per atom
Final energy ... -0.149 Ha/atom
DOS(E_F) ... 11.1 states/eV/f.u.
Offset from the most stable computed form ... 304.7 meV/atom